[1]
DFT (GGA-PBEsol) results for Fe5Co3 after structural relaxation.

## Properties
Calculated volume, Å³/atom: 10.95
ΔH_f (0 K), meV per atom: 21
Theoretical density, kg/m3: 8642

abc: 2.7824 5.5854 5.6385
angles: 90.00 90.00 90.00
Last column: nearest neighbours and their distance in Å.
Atoms (fractional coordinates):
Fe  0.0000  0.0000  0.0000  4 Co 2.42, 4 Fe 2.42
Fe  0.0000  0.0000  0.4963  4 Co 2.41, 4 Fe 2.44
Fe  0.0000  0.5000  0.4949  4 Co 2.41, 4 Fe 2.44
Fe  0.5000  0.2516  0.7513  2 Co 2.40, 6 Fe 2.42-2.44
Fe  0.5000  0.7484  0.7513  2 Co 2.40, 6 Fe 2.42-2.44
Co  0.0000  0.5000  0.9964  4 Fe 2.40, 4 Co 2.44
Co  0.5000  0.2497  0.2500  6 Fe 2.41-2.42, 2 Co 2.44
Co  0.5000  0.7503  0.2500  6 Fe 2.41-2.42, 2 Co 2.44

[2]
DFT (GGA-PBEsol) results for Fe2Co5 after structural relaxation.

## Properties
Calculated volume, Å³/atom: 10.71
ΔH_f (0 K), meV per atom: 70
Theoretical density, kg/m3: 9004

abc: 13.8409 13.7698 2.4108
angles: 86.68 83.31 10.01
Last column: nearest neighbours and their distance in Å.
Atoms (fractional coordinates):
Fe  0.0719  0.0719  0.9281  4 Co 2.40-2.41, 4 Fe 2.41
Fe  0.9281  0.9281  0.0719  4 Co 2.40-2.41, 4 Fe 2.41
Co  0.2147  0.2147  0.7853  8 Co 2.38-2.41
Co  0.3565  0.3565  0.6435  6 Co 2.39-2.41, 2 Fe 2.40
Co  0.5000  0.5000  0.5000  4 Fe 2.41, 4 Co 2.41
Co  0.6435  0.6435  0.3565  6 Co 2.39-2.41, 2 Fe 2.40
Co  0.7853  0.7853  0.2147  8 Co 2.38-2.41

[3]
DFT (GGA-PBEsol) results for FeCo6 after structural relaxation.

## Properties
Calculated volume, Å³/atom: 10.62
ΔH_f (0 K), meV per atom: 82
Theoretical density, kg/m3: 9142

abc: 9.5418 9.5418 9.5418
angles: 162.98 162.98 24.15
Last column: nearest neighbours and their distance in Å.
Atoms (fractional coordinates):
Fe  0.0000  0.0000  0.0000  8 Co 2.41
Co  0.1465  0.1465  0.0000  9 Co 2.37-2.59
Co  0.2852  0.2852  0.0000  9 Co 2.37-2.59
Co  0.4276  0.4276  0.0000  4 Fe 2.41, 5 Co 2.43-2.66
Co  0.5724  0.5724  0.0000  4 Fe 2.41, 5 Co 2.43-2.66
Co  0.7148  0.7148  0.0000  9 Co 2.37-2.59
Co  0.8535  0.8535  0.0000  9 Co 2.37-2.59

[4]
DFT (GGA-PBEsol) results for Fe4Co3 after structural relaxation.

## Properties
Calculated volume, Å³/atom: 10.89
ΔH_f (0 K), meV per atom: 29
Theoretical density, kg/m3: 8720

abc: 6.0764 6.0764 6.0764
angles: 118.26 118.26 118.26
Last column: nearest neighbours and their distance in Å.
Atoms (fractional coordinates):
Fe  0.0000  0.0000  0.0000  3 Co 2.41, 5 Fe 2.42-2.43
Fe  0.1461  0.2880  0.5747  3 Co 2.41-2.42, 5 Fe 2.42-2.43
Fe  0.2880  0.5747  0.1461  3 Co 2.41-2.42, 5 Fe 2.42-2.43
Fe  0.5747  0.1461  0.2880  3 Co 2.41-2.42, 5 Fe 2.42-2.43
Co  0.4315  0.8596  0.7176  4 Fe 2.41-2.42, 4 Co 2.42-2.43
Co  0.7176  0.4315  0.8596  4 Fe 2.41-2.42, 4 Co 2.42-2.43
Co  0.8596  0.7176  0.4315  4 Fe 2.41-2.42, 4 Co 2.42-2.43

[5]
DFT (GGA-PBEsol) results for Fe5Co3 after structural relaxation.

## Properties
Calculated volume, Å³/atom: 10.93
ΔH_f (0 K), meV per atom: 24
Theoretical density, kg/m3: 8661

abc: 6.2654 6.2654 6.2654
angles: 143.36 143.18 52.92
Last column: nearest neighbours and their distance in Å.
Atoms (fractional coordinates):
Fe  0.0000  0.0000  0.0000  4 Fe 2.42, 4 Co 2.42
Fe  0.2500  0.2500  0.0000  4 Co 2.41-2.42, 4 Fe 2.43
Fe  0.3765  0.8765  0.5000  2 Co 2.41, 6 Fe 2.42-2.43
Fe  0.6235  0.1235  0.5000  2 Co 2.41, 6 Fe 2.42-2.43
Fe  0.7500  0.7500  0.0000  4 Co 2.41-2.42, 4 Fe 2.43
Co  0.1257  0.6257  0.5000  6 Fe 2.41-2.42, 2 Co 2.43
Co  0.5000  0.5000  0.0000  4 Fe 2.41, 4 Co 2.43
Co  0.8743  0.3743  0.5000  6 Fe 2.41-2.42, 2 Co 2.43

[6]
DFT (GGA-PBEsol) results for Fe5Co3 after structural relaxation.

## Properties
Calculated volume, Å³/atom: 10.93
ΔH_f (0 K), meV per atom: 15
Theoretical density, kg/m3: 8662

abc: 4.6367 4.6390 4.6424
angles: 117.27 94.89 95.41
Last column: nearest neighbours and their distance in Å.
Atoms (fractional coordinates):
Fe  0.0000  0.0000  0.0000  4 Co 2.42, 4 Fe 2.42-2.43
Fe  0.2499  0.6264  0.1270  4 Co 2.41-2.42, 4 Fe 2.43-2.44
Fe  0.4994  0.7506  0.7488  3 Co 2.41-2.42, 5 Fe 2.41-2.44
Fe  0.5006  0.2494  0.2512  3 Co 2.41-2.42, 5 Fe 2.41-2.44
Fe  0.7501  0.3736  0.8730  4 Co 2.41-2.42, 4 Fe 2.43-2.44
Co  0.0000  0.5000  0.5000  6 Fe 2.41-2.42, 2 Co 2.44
Co  0.2519  0.1252  0.6272  6 Fe 2.41-2.42, 2 Co 2.44
Co  0.7481  0.8748  0.3728  6 Fe 2.41-2.42, 2 Co 2.44

| no. | E above lowest polymorph (eV per formula unit) |
| --- | --- |
| 1 | 0.27 |
| 2 | 0.16 |
| 3 | 0.00 |
| 4 | 0.07 |
| 5 | 0.29 |
| 6 | 0.22 |